Density functional theory data (GGA-PBE) for a geometry-optimized Nb2CuSe structure.

Cell: 7.123 7.123 7.123 Å, 134.05 134.05 67.01°
Fractional positions:
Nb 0.100 0.625 0.975
Nb 0.375 0.350 0.475
Nb 0.650 0.125 0.025
Nb 0.875 0.900 0.525
Cu 0.000 0.000 0.000
Cu 0.750 0.250 0.500
Se 0.250 0.750 0.500
Se 0.500 0.500 0.000

Computed properties:
* spin magnetization: 0.00 μB per formula unit
* formation energy without anion corrections: 732 meV/atom
* mass density: 5.9 Mg/m³